(1)
LaPr3Y2 (GGA-PBE, optimized geometry); excess energy over the best structure of this formula in the dataset = 0 meV per atom; ΔE_f = 6 meV per atom
1.0
1.846 -9.592 0.000
1.846 9.592 0.000
0.000 0.000 11.902
La Pr Y
2 6 4
direct
0.220 0.780 0.750 La
0.780 0.220 0.250 La
0.109 0.891 0.250 Pr
0.336 0.664 0.501 Pr
0.336 0.664 0.999 Pr
0.664 0.336 0.001 Pr
0.664 0.336 0.499 Pr
0.891 0.109 0.750 Pr
0.000 0.000 0.000 Y
0.000 0.000 0.500 Y
0.446 0.554 0.250 Y
0.554 0.446 0.750 Y

***

(2)
MnPt2Se (GGA-PBE, optimized geometry); raw formation energy = -1.9 kJ per mole of atoms
1.0
10.051 0.000 0.000
0.000 3.173 0.000
-0.118 0.000 4.223
Mn Pt Se
2 4 2
direct
0.000 0.000 0.000 Mn
0.500 0.500 0.000 Mn
0.205 0.500 0.274 Pt
0.443 0.000 0.489 Pt
0.705 0.000 0.274 Pt
0.943 0.500 0.489 Pt
0.234 0.000 0.780 Se
0.734 0.500 0.780 Se

***

(3)
SnTeW2 (GGA-PBE, optimized geometry); excess energy over the best structure of this formula in the dataset = 653 meV per atom; raw formation energy = 136.3 kJ per mole of atoms
1.0
7.746 0.000 0.000
0.000 7.746 0.000
0.000 0.000 5.732
Sn Te W
4 4 8
direct
0.000 0.000 0.000 Sn
0.000 0.500 0.250 Sn
0.500 0.000 0.750 Sn
0.500 0.500 0.500 Sn
0.000 0.000 0.500 Te
0.000 0.500 0.750 Te
0.500 0.000 0.250 Te
0.500 0.500 0.000 Te
0.220 0.250 0.625 W
0.250 0.720 0.875 W
0.250 0.780 0.375 W
0.280 0.250 0.125 W
0.720 0.750 0.125 W
0.750 0.220 0.375 W
0.750 0.280 0.875 W
0.780 0.750 0.625 W

***

(4)
CaPaPtAu (GGA-PBE, optimized geometry); ΔE_f = -609 meV per atom
1.0
7.120 0.000 0.000
0.000 7.120 0.000
0.000 0.000 7.120
Ca Pa Pt Au
4 4 4 4
direct
0.000 0.000 0.000 Ca
0.000 0.500 0.500 Ca
0.500 0.000 0.500 Ca
0.500 0.500 0.000 Ca
0.000 0.000 0.500 Pa
0.000 0.500 0.000 Pa
0.500 0.000 0.000 Pa
0.500 0.500 0.500 Pa
0.250 0.250 0.750 Pt
0.250 0.750 0.250 Pt
0.750 0.250 0.250 Pt
0.750 0.750 0.750 Pt
0.250 0.250 0.250 Au
0.250 0.750 0.750 Au
0.750 0.250 0.750 Au
0.750 0.750 0.250 Au

***

(5)
AlTl2GeSe4 (GGA-PBE, optimized geometry); raw formation energy = -45.7 kJ per mole of atoms
1.0
0.000 6.835 11.547
3.104 0.000 11.547
3.104 6.835 0.000
Al Tl Ge Se
2 4 2 8
direct
0.125 0.125 0.125 Al
0.875 0.875 0.875 Al
0.053 0.053 0.697 Tl
0.303 0.303 0.947 Tl
0.697 0.697 0.053 Tl
0.947 0.947 0.303 Tl
0.375 0.375 0.375 Ge
0.625 0.625 0.625 Ge
0.048 0.316 0.404 Se
0.269 0.596 0.684 Se
0.316 0.048 0.731 Se
0.404 0.731 0.048 Se
0.596 0.269 0.952 Se
0.684 0.952 0.269 Se
0.731 0.404 0.316 Se
0.952 0.684 0.596 Se

***

(6)
MnTeS (GGA-PBE, optimized geometry); excess energy over the best structure of this formula in the dataset = 17 meV per atom; raw formation energy = -35.1 kJ per mole of atoms
1.0
6.148 0.000 0.000
0.000 3.553 0.000
-1.911 0.000 12.760
Mn Te S
4 4 4
direct
0.065 0.000 0.207 Mn
0.435 0.500 0.793 Mn
0.565 0.500 0.207 Mn
0.935 0.000 0.793 Mn
0.226 0.000 0.656 Te
0.274 0.500 0.344 Te
0.726 0.500 0.656 Te
0.774 0.000 0.344 Te
0.129 0.500 0.882 S
0.371 0.000 0.118 S
0.629 0.000 0.882 S
0.871 0.500 0.118 S

***

(7)
Pr6Ni2PBr3 (GGA-PBE, optimized geometry); raw formation energy = -96.2 kJ per mole of atoms
1.0
3.623 -6.246 0.000
3.623 6.246 0.000
-2.409 0.000 7.531
Pr Ni P Br
6 2 1 3
direct
0.089 0.433 0.799 Pr
0.222 0.222 0.199 Pr
0.433 0.089 0.799 Pr
0.567 0.911 0.201 Pr
0.778 0.778 0.801 Pr
0.911 0.567 0.201 Pr
0.167 0.833 0.000 Ni
0.833 0.167 0.000 Ni
0.500 0.500 0.000 P
0.000 0.000 0.500 Br
0.339 0.661 0.500 Br
0.661 0.339 0.500 Br

***

(8)
RhCO2F (GGA-PBE, optimized geometry); raw formation energy = 89.3 kJ per mole of atoms
1.0
3.430 0.000 0.000
0.000 3.430 0.000
0.000 0.000 4.015
Rh C O F
1 1 2 1
direct
0.000 0.000 0.000 Rh
0.500 0.500 0.500 C
0.000 0.500 0.500 O
0.500 0.000 0.500 O
0.500 0.500 0.000 F